This record from Alexandria via LeMat-Bulk describes an optimized crystal structure of BeAl2Si. The functional is PBE.

Cell lengths 5.5577, 5.5577, 5.5577 Å; angles 152.01, 134.23, 54.51 degrees
Fractional coordinates of all 4 atoms:
1 Be 0.4963 0.4963 0.0000
2 Si 0.2994 0.7994 0.5000
3 Al 0.9938 0.9938 0.0000
4 Al 0.7105 0.2105 0.5000

Summary:
* formation energy without anion corrections: 0.23 eV per atom
* VASP energy: -15.7 eV for the cell shown
* total magnetic moment: 0.000 μB per formula unit

***

This record from Alexandria via LeMat-Bulk describes an optimized crystal structure of Be2Al2Si. The functional is PBE.

Cell lengths 7.0224, 7.0224, 2.6350 Å; angles 90.00, 90.00, 90.00 degrees
Fractional coordinates of all 10 atoms:
1 Be 0.3898 0.8898 0.0000
2 Be 0.8898 0.6102 0.0000
3 Be 0.6102 0.1102 0.0000
4 Be 0.1102 0.3898 0.0000
5 Si 0.0000 0.0000 0.0000
6 Si 0.5000 0.5000 0.0000
7 Al 0.1839 0.6839 0.5000
8 Al 0.6839 0.8161 0.5000
9 Al 0.8161 0.3161 0.5000
10 Al 0.3161 0.1839 0.5000

Summary:
* formation energy without anion corrections: 0.31 eV per atom
* VASP energy: -37.6 eV for the cell shown
* total magnetic moment: 0.000 μB per formula unit
* energy relative to the lowest polymorph listed for this composition: 0.000 eV/f.u.

***

This record from Alexandria via LeMat-Bulk describes an optimized crystal structure of BeAl2Si. The functional is PBE.

Cell lengths 4.3024, 4.3024, 4.3024 Å; angles 60.00, 60.00, 60.00 degrees
Fractional coordinates of all 4 atoms:
1 Be 0.5000 0.5000 0.5000
2 Si 0.2500 0.2500 0.2500
3 Al 0.0000 0.0000 0.0000
4 Al 0.7500 0.7500 0.7500

Summary:
* formation energy without anion corrections: 0.38 eV per atom
* VASP energy: -15.1 eV for the cell shown
* total magnetic moment: 0.000 μB per formula unit

***

This record from Alexandria via LeMat-Bulk describes an optimized crystal structure of Be2AlSi. The functional is PBE.

Cell lengths 5.7191, 3.5577, 10.1878 Å; angles 90.00, 92.86, 90.00 degrees
Fractional coordinates of all 16 atoms:
1 Be 0.2381 0.0000 0.3629
2 Be 0.2381 0.5000 0.8629
3 Be 0.2268 0.0000 0.9962
4 Be 0.2268 0.5000 0.4962
5 Be 0.4717 0.0000 0.5365
6 Be 0.4717 0.5000 0.0365
7 Be 0.0633 0.0000 0.1790
8 Be 0.0633 0.5000 0.6790
9 Si 0.4793 0.0000 0.1763
10 Si 0.4793 0.5000 0.6763
11 Si 0.9870 0.0000 0.8066
12 Si 0.9870 0.5000 0.3066
13 Al 0.5739 0.0000 0.8696
14 Al 0.5739 0.5000 0.3696
15 Al 0.8999 0.0000 0.5347
16 Al 0.8999 0.5000 0.0347

Summary:
* formation energy without anion corrections: 0.18 eV per atom
* VASP energy: -63.6 eV for the cell shown
* total magnetic moment: 0.000 μB per formula unit
* energy relative to the lowest polymorph listed for this composition: 0.171 eV/f.u.

***

This record from Alexandria via LeMat-Bulk describes an optimized crystal structure of BeAl2Si. The functional is PBE.

Cell lengths 2.7984, 3.5481, 5.6447 Å; angles 90.00, 90.00, 90.00 degrees
Fractional coordinates of all 4 atoms:
1 Be 0.0000 0.0000 0.5314
2 Si 0.5000 0.5000 0.7154
3 Al 0.0000 0.0000 0.9844
4 Al 0.5000 0.5000 0.2688

Summary:
* formation energy without anion corrections: 0.22 eV per atom
* VASP energy: -15.8 eV for the cell shown
* total magnetic moment: 0.000 μB per formula unit

***

This record from Alexandria via LeMat-Bulk describes an optimized crystal structure of Be2AlSi. The functional is PBE.

Cell lengths 3.4853, 5.5868, 6.0982 Å; angles 70.47, 73.95, 69.54 degrees
Fractional coordinates of all 8 atoms:
1 Be 0.3071 0.8399 0.8050
2 Be 0.9880 0.5259 0.7969
3 Be 0.5651 0.6055 0.5583
4 Be 0.6609 0.2077 0.7807
5 Si 0.2413 0.3773 0.4562
6 Si 0.0666 0.1173 0.0489
7 Al 0.9111 0.9515 0.4816
8 Al 0.7258 0.7141 0.1324

Summary:
* formation energy without anion corrections: 0.21 eV per atom
* VASP energy: -31.6 eV for the cell shown
* total magnetic moment: 0.000 μB per formula unit
* energy relative to the lowest polymorph listed for this composition: 0.278 eV/f.u.

***

This record from Alexandria via LeMat-Bulk describes an optimized crystal structure of BeAl2Si. The functional is PBE.

Cell lengths 4.6224, 4.6224, 4.6224 Å; angles 130.81, 130.81, 72.12 degrees
Fractional coordinates of all 4 atoms:
1 Be 0.2500 0.7500 0.5000
2 Si 0.7500 0.2500 0.5000
3 Al 0.0000 0.0000 0.0000
4 Al 0.5000 0.5000 0.0000

Summary:
* formation energy without anion corrections: 0.23 eV per atom
* VASP energy: -15.7 eV for the cell shown
* total magnetic moment: 0.000 μB per formula unit

***

This record from Alexandria via LeMat-Bulk describes an optimized crystal structure of BeAl2Si. The functional is PBE.

Cell lengths 3.8277, 3.8282, 3.7776 Å; angles 90.00, 90.00, 90.00 degrees
Fractional coordinates of all 4 atoms:
1 Be 0.5000 0.0000 0.5000
2 Si 0.0000 0.5000 0.5000
3 Al 0.0000 0.0000 0.0000
4 Al 0.5000 0.5000 0.0000

Summary:
* formation energy without anion corrections: 0.22 eV per atom
* VASP energy: -15.8 eV for the cell shown
* total magnetic moment: 0.000 μB per formula unit

***

This record from Alexandria via LeMat-Bulk describes an optimized crystal structure of BeAl2Si. The functional is PBE.

Cell lengths 8.3451, 8.3451, 8.3451 Å; angles 19.35, 19.35, 19.35 degrees
Fractional coordinates of all 4 atoms:
1 Be 0.7500 0.7500 0.7500
2 Si 0.2500 0.2500 0.2500
3 Al 0.0045 0.0045 0.0045
4 Al 0.4955 0.4955 0.4955

Summary:
* formation energy without anion corrections: 0.28 eV per atom
* VASP energy: -15.5 eV for the cell shown
* total magnetic moment: 0.000 μB per formula unit

***

This record from Alexandria via LeMat-Bulk describes an optimized crystal structure of Be2AlSi. The functional is PBE.

Cell lengths 4.0453, 4.0453, 4.0453 Å; angles 60.00, 60.00, 60.00 degrees
Fractional coordinates of all 4 atoms:
1 Be 0.2500 0.2500 0.2500
2 Be 0.7500 0.7500 0.7500
3 Si 0.5000 0.5000 0.5000
4 Al 0.0000 0.0000 0.0000

Summary:
* formation energy without anion corrections: 0.40 eV per atom
* VASP energy: -15.0 eV for the cell shown
* total magnetic moment: 0.000 μB per formula unit
* energy relative to the lowest polymorph listed for this composition: 1.059 eV/f.u.

***

This record from Alexandria via LeMat-Bulk describes an optimized crystal structure of Be2AlSi. The functional is PBE.

Cell lengths 7.5008, 7.5008, 7.5008 Å; angles 21.43, 21.43, 21.43 degrees
Fractional coordinates of all 4 atoms:
1 Be 0.9957 0.9957 0.9957
2 Be 0.5043 0.5043 0.5043
3 Si 0.2500 0.2500 0.2500
4 Al 0.7500 0.7500 0.7500

Summary:
* formation energy without anion corrections: 0.32 eV per atom
* VASP energy: -15.3 eV for the cell shown
* total magnetic moment: 0.000 μB per formula unit
* energy relative to the lowest polymorph listed for this composition: 0.723 eV/f.u.

***

This record from Alexandria via LeMat-Bulk describes an optimized crystal structure of Be2AlSi. The functional is PBE.

Cell lengths 2.5158, 3.3961, 5.6343 Å; angles 90.00, 90.00, 90.00 degrees
Fractional coordinates of all 4 atoms:
1 Be 0.0000 0.0000 0.0429
2 Be 0.5000 0.5000 0.2239
3 Si 0.0000 0.0000 0.4582
4 Al 0.5000 0.5000 0.7750

Summary:
* formation energy without anion corrections: 0.27 eV per atom
* VASP energy: -15.5 eV for the cell shown
* total magnetic moment: 0.000 μB per formula unit
* energy relative to the lowest polymorph listed for this composition: 0.523 eV/f.u.

***

Sequential ρ output: 2.63; 2.56; 2.69; 2.34; 2.70; 2.35; 2.73; 2.73; 2.71; 2.59; 2.46; 2.52 g cm⁻³